[1]
VASP calculation (PBE) on a relaxed Ba2WCl crystal. Values from VASP.

```
&SYSTEM
  ibrav = 0, nat = 16, ntyp = 3
/
ATOMIC_SPECIES
Ba 137.33 Ba.upf
W 183.84 W.upf
Cl 35.45 Cl.upf
CELL_PARAMETERS angstrom
8.1463 0.0000 0.0000
0.0000 8.1463 0.0000
0.0000 0.0000 8.1463
ATOMIC_POSITIONS crystal
Ba 0.2500 0.2500 0.2500
Ba 0.2500 0.2500 0.7500
Ba 0.2500 0.7500 0.2500
Ba 0.2500 0.7500 0.7500
Ba 0.7500 0.2500 0.2500
Ba 0.7500 0.2500 0.7500
Ba 0.7500 0.7500 0.2500
Ba 0.7500 0.7500 0.7500
W 0.0000 0.0000 0.0000
W 0.0000 0.5000 0.5000
W 0.5000 0.0000 0.5000
W 0.5000 0.5000 0.0000
Cl 0.0000 0.0000 0.5000
Cl 0.0000 0.5000 0.0000
Cl 0.5000 0.0000 0.0000
Cl 0.5000 0.5000 0.5000
```

Values from the calculation:
Formation energy from raw total energies (eV/atom): 0.4794
Total moment (μB/f.u.): 3.471
Density (g/cm³): 6.07
Energy above the lowest structure with this stoichiometry (meV/atom): 326.5

=====

[2]
VASP calculation (PBE) on a relaxed NiAsSe crystal. Values from VASP.

```
&SYSTEM
  ibrav = 0, nat = 12, ntyp = 3
/
ATOMIC_SPECIES
Ni 58.69 Ni.upf
As 74.92 As.upf
Se 78.96 Se.upf
CELL_PARAMETERS angstrom
5.8786 0.0000 0.0000
0.0000 5.8786 0.0000
0.0000 0.0000 5.8786
ATOMIC_POSITIONS crystal
Ni 0.0032 0.0032 0.0032
Ni 0.4968 0.9968 0.5032
Ni 0.5032 0.4968 0.9968
Ni 0.9968 0.5032 0.4968
As 0.1233 0.8767 0.3767
As 0.3767 0.1233 0.8767
As 0.6233 0.6233 0.6233
As 0.8767 0.3767 0.1233
Se 0.1213 0.6213 0.8787
Se 0.3787 0.3787 0.3787
Se 0.6213 0.8787 0.1213
Se 0.8787 0.1213 0.6213
```

Values from the calculation:
Formation energy from raw total energies (eV/atom): -0.2928
Total moment (μB/f.u.): 0.000
Density (g/cm³): 6.95

=====

DFT total energy for every record listed, in sequence, given in eV for the cell shown: -66.9 -59.2.